MnClO, relaxed, DFT PBE with a Hubbard U; space-group type = No. 14; total magnetic moment = 4.00 μB per formula unit; calculated volume = 189.3 Å³ per cell; uncorrected energy = -5.880 eV/atom
1.0
5.156 0.000 0.000
0.000 5.728 -0.503
0.000 -0.510 6.454
O Cl Mn
4 4 4
Cartesian
0.977 3.187 0.681
3.555 2.287 2.043
4.179 2.031 5.270
1.601 2.932 3.908
3.880 5.204 0.151
1.302 0.269 2.572
3.853 4.949 3.378
1.275 0.014 5.799
2.902 1.479 3.932
0.324 3.484 5.245
2.253 3.740 2.018
4.831 1.734 0.705